# KBeP | the Alexandria database | PBEsol | relaxed
data_KBeP
_space_group_name_H-M_alt 'P -6 m 2'
_space_group_IT_number 187
_space_group_name_Hall 'P -6 2'
_cell_length_a 3.7198
_cell_length_b 3.7198
_cell_length_c 5.0973
_cell_angle_alpha 90.00
_cell_angle_beta 90.00
_cell_angle_gamma 120.00
loop_
_atom_site_label
_atom_site_type_symbol
_atom_site_fract_x
_atom_site_fract_y
_atom_site_fract_z
K1 K 0.0000 0.0000 0.0000
Be1 Be 0.6667 0.3333 0.5000
P1 P 0.3333 0.6667 0.5000
# ΔE_f in meV/atom: -413

***

# CaW3C | the Alexandria database | PBEsol | relaxed
data_CaW3C
_space_group_name_H-M_alt 'P m -3 m'
_space_group_IT_number 221
_space_group_name_Hall '-P 4 2 3'
_cell_length_a 4.252
_cell_length_b 4.252
_cell_length_c 4.252
_cell_angle_alpha 90.00
_cell_angle_beta 90.00
_cell_angle_gamma 90.00
loop_
_atom_site_label
_atom_site_type_symbol
_atom_site_fract_x
_atom_site_fract_y
_atom_site_fract_z
Ca1 Ca 0.000 0.000 0.000
W1 W 0.000 0.500 0.500
C1 C 0.500 0.500 0.500
# N(E_F) in states/eV per atom: 0.7375
# ΔE_f in meV/atom: 590

***

# LiMn2Fe | the Alexandria database | PBEsol | relaxed
data_LiMn2Fe
_space_group_name_H-M_alt 'I m m 2'
_space_group_IT_number 44
_cell_length_a 2.692
_cell_length_b 4.001
_cell_length_c 7.850
_cell_angle_alpha 90.00
_cell_angle_beta 90.00
_cell_angle_gamma 90.00
loop_
_space_group_symop_operation_xyz
'x,y,z'
'-x,-y,z'
'-x,y,z'
'x,-y,z'
'x+1/2,y+1/2,z+1/2'
'-x+1/2,-y+1/2,z+1/2'
'-x+1/2,y+1/2,z+1/2'
'x+1/2,-y+1/2,z+1/2'
loop_
_atom_site_label
_atom_site_type_symbol
_atom_site_fract_x
_atom_site_fract_y
_atom_site_fract_z
Li1 Li 0.000 0.000 0.000
Mn1 Mn 0.000 0.000 0.501
Mn2 Mn 0.000 0.500 0.763
Fe1 Fe 0.000 0.500 0.242
# N(E_F) in states/eV per atom: 0.9098
# Energy above the lowest structure with this stoichiometry in meV per atom: 61
# ΔE_f in meV/atom: 315

***

# Cd2GaSe | the Alexandria database | PBEsol | relaxed
data_Cd2GaSe
_space_group_name_H-M_alt 'F m -3 m'
_space_group_IT_number 225
_space_group_name_Hall '-F 4 2 3'
_cell_length_a 7.005
_cell_length_b 7.005
_cell_length_c 7.005
_cell_angle_alpha 90.00
_cell_angle_beta 90.00
_cell_angle_gamma 90.00
loop_
_atom_site_label
_atom_site_type_symbol
_atom_site_fract_x
_atom_site_fract_y
_atom_site_fract_z
Cd1 Cd 0.250 0.250 0.250
Ga1 Ga 0.000 0.000 0.000
Se1 Se 0.000 0.000 0.500
# N(E_F) in states/eV per atom: 0.6319
# E_form (uncorrected) in eV/f.u.: 0.42

***

# NaBe2Tc | the Alexandria database | PBEsol | relaxed
data_NaBe2Tc
_space_group_name_H-M_alt 'I -4 2 d'
_space_group_IT_number 122
_space_group_name_Hall 'I -4 2bw'
_cell_length_a 6.382
_cell_length_b 6.382
_cell_length_c 5.401
_cell_angle_alpha 90.00
_cell_angle_beta 90.00
_cell_angle_gamma 90.00
loop_
_atom_site_label
_atom_site_type_symbol
_atom_site_fract_x
_atom_site_fract_y
_atom_site_fract_z
Na1 Na 0.000 0.000 0.000
Be1 Be 0.222 0.250 0.625
Tc1 Tc 0.000 0.000 0.500
# N(E_F) in states/eV per atom: 0.6506
# ΔE_f in meV/atom: 987

***

# Ca2Hg2Pb | the Alexandria database | PBEsol | relaxed
data_Ca2Hg2Pb
_space_group_name_H-M_alt 'I 4/m m m'
_space_group_IT_number 139
_space_group_name_Hall '-I 4 2'
_cell_length_a 5.800
_cell_length_b 5.800
_cell_length_c 8.963
_cell_angle_alpha 90.00
_cell_angle_beta 90.00
_cell_angle_gamma 90.00
loop_
_atom_site_label
_atom_site_type_symbol
_atom_site_fract_x
_atom_site_fract_y
_atom_site_fract_z
Ca1 Ca 0.000 0.500 0.250
Hg1 Hg 0.000 0.000 0.150
Pb1 Pb 0.000 0.000 0.500
# N(E_F) in states/eV per atom: 0.5259
# Energy above the lowest structure with this stoichiometry in meV per atom: 234
# ΔE_f in meV/atom: -302

***

no.,total DFT energy (no corrections) (eV/atom)
1,-4.054
2,-10.050
3,-7.298
4,-2.291
5,-4.180
6,-2.181